Entry from Alexandria via LeMat-Bulk: crystalline TbY3Tm5 at its relaxed geometry (PBE).

Values from the calculation:
Offset from the most stable computed form = 0.00 eV per formula unit
Symmetry = P6_3/mcm
Final energy = -5.089 eV per atom
Crystal system = hexagonal
DOS(E_F) = 25.02 states/eV per cell

Unit cell a=9.638 b=9.638 c=6.944 alpha=90.00 beta=90.00 gamma=120.00
Element x y z (fractional)
Tb  0.000  0.000  0.000
Tb  0.000  0.000  0.500
Y  0.000  0.359  0.250
Y  0.000  0.641  0.750
Y  0.359  0.000  0.250
Y  0.359  0.359  0.750
Y  0.641  0.000  0.750
Y  0.641  0.641  0.250
Tm  0.000  0.309  0.750
Tm  0.000  0.691  0.250
Tm  0.309  0.000  0.750
Tm  0.309  0.309  0.250
Tm  0.333  0.667  0.000
Tm  0.333  0.667  0.500
Tm  0.667  0.333  0.000
Tm  0.667  0.333  0.500
Tm  0.691  0.000  0.250
Tm  0.691  0.691  0.750